This record from the Open Quantum Materials Database describes an optimized crystal structure of Pr2HoMg3Hg2Au. The functional is PBE.

- DFT total energy (eV/atom) = -2.997

a b c (Å): 4.271 13.592 7.861
angles (deg): 90.00 90.00 90.00
Space group Amm2 (No. 38)
One atom of each set of equivalent atoms:
1 Pr 0.000 0.203 0.000
2 Ho 0.000 0.000 0.606
3 Mg 0.500 0.000 0.964
4 Mg 0.500 0.118 0.325
5 Hg 0.500 0.160 0.700
6 Au 0.000 0.000 0.210